The following is a PBEsol calculation of a relaxed structure of AlTlHg2, from Alexandria via LeMat-Bulk.

- Theoretical density: 11.55 Mg/m³
- Magnetic moment: 0.00 μB/f.u.
- ΔE_f: 0.07 eV/atom

```
data_AlTlHg2
_chemical_formula_sum 'Al1 Tl1 Hg2'
_cell_length_a 3.350
_cell_length_b 3.350
_cell_length_c 8.107
_cell_angle_alpha 90.00
_cell_angle_beta 90.00
_cell_angle_gamma 90.00
_space_group_name_H-M_alt 'P 4/m m m'
_space_group_IT_number 123
_space_group_name_Hall '-P 4 2'
loop_
_atom_site_label
_atom_site_fract_x
_atom_site_fract_y
_atom_site_fract_z
Al1 0.000 0.000 0.000
Tl1 0.000 0.000 0.500
Hg1 0.500 0.500 0.212
```